(1)
Entry from Alexandria: an optimized crystal structure of HfTi2Ag2Te6 (GGA-PBE).

The structure in CIF format:
```
data_HfTi2Ag2Te6
_chemical_formula_sum 'Hf2 Ti4 Ag4 Te12'
_space_group_name_H-M_alt 'C 1 2/m 1'
_space_group_IT_number 12
_cell_length_a 6.726
_cell_length_b 11.692
_cell_length_c 7.825
_cell_angle_alpha 90.00
_cell_angle_beta 99.63
_cell_angle_gamma 90.00
loop_
_space_group_symop_operation_xyz
'x,y,z'
'-x,-y,-z'
'-x,y,-z'
'x,-y,z'
'x+1/2,y+1/2,z'
'-x+1/2,-y+1/2,-z'
'-x+1/2,y+1/2,-z'
'x+1/2,-y+1/2,z'
loop_
_atom_site_label
_atom_site_type_symbol
_atom_site_fract_x
_atom_site_fract_y
_atom_site_fract_z
_atom_site_occupancy
Hf1 Hf 0.000 0.000 0.000 1
Ti1 Ti 0.000 0.335 0.000 1
Ag1 Ag 0.000 0.125 0.500 1
Te1 Te 0.201 0.500 0.227 1
Te2 Te 0.214 0.174 0.224 1
```

(2)
Entry from Alexandria: an optimized crystal structure of HfTiAg2Te (GGA-PBE).

The structure in CIF format:
```
data_HfTiAg2Te
_chemical_formula_sum 'Hf1 Ti1 Ag2 Te1'
_space_group_name_H-M_alt 'P 4/m m m'
_space_group_IT_number 123
_space_group_name_Hall '-P 4 2'
_cell_length_a 5.195
_cell_length_b 5.195
_cell_length_c 5.321
_cell_angle_alpha 90.00
_cell_angle_beta 90.00
_cell_angle_gamma 90.00
loop_
_atom_site_label
_atom_site_type_symbol
_atom_site_fract_x
_atom_site_fract_y
_atom_site_fract_z
_atom_site_occupancy
Hf1 Hf 0.000 0.000 0.000 1
Ti1 Ti 0.500 0.500 0.500 1
Ag1 Ag 0.000 0.500 0.000 1
Te1 Te 0.000 0.000 0.500 1
```

(3)
Entry from Alexandria: an optimized crystal structure of HfTlAgTe3 (GGA-PBE).

The structure in CIF format:
```
data_HfTlAgTe3
_chemical_formula_sum 'Hf2 Tl2 Ag2 Te6'
_space_group_name_H-M_alt 'P 1 21/m 1'
_space_group_IT_number 11
_cell_length_a 8.689
_cell_length_b 4.180
_cell_length_c 10.832
_cell_angle_alpha 90.00
_cell_angle_beta 110.18
_cell_angle_gamma 90.00
loop_
_space_group_symop_operation_xyz
'x,y,z'
'-x,-y,-z'
'-x,y+1/2,-z'
'x,-y+1/2,z'
loop_
_atom_site_label
_atom_site_type_symbol
_atom_site_fract_x
_atom_site_fract_y
_atom_site_fract_z
_atom_site_occupancy
Hf1 Hf 0.199 0.250 0.171 1
Tl1 Tl 0.236 0.750 0.709 1
Ag1 Ag 0.426 0.750 0.397 1
Te1 Te 0.056 0.250 0.877 1
Te2 Te 0.224 0.250 0.439 1
Te3 Te 0.415 0.750 0.138 1
```

(4)
Entry from Alexandria: an optimized crystal structure of HfTl2Ag2Te4 (GGA-PBE).

The structure in CIF format:
```
data_HfTl2Ag2Te4
_chemical_formula_sum 'Hf2 Tl4 Ag4 Te8'
_space_group_name_H-M_alt 'C 1 2/m 1'
_space_group_IT_number 12
_cell_length_a 16.138
_cell_length_b 4.294
_cell_length_c 8.415
_cell_angle_alpha 90.00
_cell_angle_beta 111.31
_cell_angle_gamma 90.00
loop_
_space_group_symop_operation_xyz
'x,y,z'
'-x,-y,-z'
'-x,y,-z'
'x,-y,z'
'x+1/2,y+1/2,z'
'-x+1/2,-y+1/2,-z'
'-x+1/2,y+1/2,-z'
'x+1/2,-y+1/2,z'
loop_
_atom_site_label
_atom_site_type_symbol
_atom_site_fract_x
_atom_site_fract_y
_atom_site_fract_z
_atom_site_occupancy
Hf1 Hf 0.000 0.000 0.000 1
Tl1 Tl 0.138 0.000 0.592 1
Ag1 Ag 0.185 0.500 0.977 1
Te1 Te 0.006 0.500 0.763 1
Te2 Te 0.192 0.000 0.208 1
```

(5)
Entry from Alexandria: an optimized crystal structure of Hf2Tl2AgTe6 (GGA-PBE).

The structure in CIF format:
```
data_Hf2Tl2AgTe6
_chemical_formula_sum 'Hf4 Tl4 Ag2 Te12'
_space_group_name_H-M_alt 'C 1 2/m 1'
_space_group_IT_number 12
_cell_length_a 7.171
_cell_length_b 12.563
_cell_length_c 8.574
_cell_angle_alpha 90.00
_cell_angle_beta 105.97
_cell_angle_gamma 90.00
loop_
_space_group_symop_operation_xyz
'x,y,z'
'-x,-y,-z'
'-x,y,-z'
'x,-y,z'
'x+1/2,y+1/2,z'
'-x+1/2,-y+1/2,-z'
'-x+1/2,y+1/2,-z'
'x+1/2,-y+1/2,z'
loop_
_atom_site_label
_atom_site_type_symbol
_atom_site_fract_x
_atom_site_fract_y
_atom_site_fract_z
_atom_site_occupancy
Hf1 Hf 0.000 0.169 0.000 1
Tl1 Tl 0.000 0.338 0.500 1
Ag1 Ag 0.000 0.500 0.000 1
Te1 Te 0.221 0.000 0.198 1
Te2 Te 0.243 0.326 0.208 1
```

(6)
Entry from Alexandria: an optimized crystal structure of HfTl2AgTe4 (GGA-PBE).

The structure in CIF format:
```
data_HfTl2AgTe4
_chemical_formula_sum 'Hf1 Tl2 Ag1 Te4'
_space_group_name_H-M_alt 'P 1 2/m 1'
_space_group_IT_number 10
_cell_length_a 7.748
_cell_length_b 4.170
_cell_length_c 8.322
_cell_angle_alpha 90.00
_cell_angle_beta 109.48
_cell_angle_gamma 90.00
loop_
_space_group_symop_operation_xyz
'x,y,z'
'-x,-y,-z'
'-x,y,-z'
'x,-y,z'
loop_
_atom_site_label
_atom_site_type_symbol
_atom_site_fract_x
_atom_site_fract_y
_atom_site_fract_z
_atom_site_occupancy
Hf1 Hf 0.000 0.000 0.000 1
Tl1 Tl 0.000 0.500 0.500 1
Tl2 Tl 0.500 0.000 0.500 1
Ag1 Ag 0.500 0.500 0.000 1
Te1 Te 0.215 0.500 0.216 1
Te2 Te 0.261 0.000 0.809 1
```

(7)
Entry from Alexandria: an optimized crystal structure of Hf2Tl3AgTe6 (GGA-PBE).

The structure in CIF format:
```
data_Hf2Tl3AgTe6
_chemical_formula_sum 'Hf4 Tl6 Ag2 Te12'
_space_group_name_H-M_alt 'C 1 2/m 1'
_space_group_IT_number 12
_cell_length_a 7.390
_cell_length_b 12.820
_cell_length_c 8.450
_cell_angle_alpha 90.00
_cell_angle_beta 106.56
_cell_angle_gamma 90.00
loop_
_space_group_symop_operation_xyz
'x,y,z'
'-x,-y,-z'
'-x,y,-z'
'x,-y,z'
'x+1/2,y+1/2,z'
'-x+1/2,-y+1/2,-z'
'-x+1/2,y+1/2,-z'
'x+1/2,-y+1/2,z'
loop_
_atom_site_label
_atom_site_type_symbol
_atom_site_fract_x
_atom_site_fract_y
_atom_site_fract_z
_atom_site_occupancy
Hf1 Hf 0.000 0.168 0.000 1
Tl1 Tl 0.000 0.000 0.500 1
Tl2 Tl 0.000 0.340 0.500 1
Ag1 Ag 0.000 0.500 0.000 1
Te1 Te 0.219 0.000 0.196 1
Te2 Te 0.245 0.324 0.207 1
```

(8)
Entry from Alexandria: an optimized crystal structure of Hf3Tl4AgTe8 (GGA-PBE).

The structure in CIF format:
```
data_Hf3Tl4AgTe8
_chemical_formula_sum 'Hf9 Tl12 Ag3 Te24'
_space_group_name_H-M_alt 'R -3 m'
_space_group_IT_number 166
_space_group_name_Hall '-R 3 2"'
_cell_length_a 8.4361
_cell_length_b 8.4361
_cell_length_c 24.5659
_cell_angle_alpha 90.00
_cell_angle_beta 90.00
_cell_angle_gamma 120.00
loop_
_atom_site_label
_atom_site_type_symbol
_atom_site_fract_x
_atom_site_fract_y
_atom_site_fract_z
_atom_site_occupancy
Hf1 Hf 0.0000 0.5000 0.0000 1
Tl1 Tl 0.0000 0.0000 0.5000 1
Tl2 Tl 0.0000 0.5000 0.5000 1
Ag1 Ag 0.0000 0.0000 0.0000 1
Te1 Te 0.0000 0.0000 0.2653 1
Te2 Te 0.0078 0.5039 0.2662 1
```

(9)
# YHfAg2Te GGA-PBE relaxed
# Energy relative to the lowest polymorph listed for this composition = 472 meV per atom
data_YHfAg2Te
_chemical_formula_sum 'Y1 Hf1 Ag2 Te1'
_space_group_name_H-M_alt 'P 4/m m m'
_space_group_IT_number 123
_space_group_name_Hall '-P 4 2'
_cell_length_a 5.262
_cell_length_b 5.262
_cell_length_c 5.723
_cell_angle_alpha 90.00
_cell_angle_beta 90.00
_cell_angle_gamma 90.00
loop_
_atom_site_label
_atom_site_type_symbol
_atom_site_fract_x
_atom_site_fract_y
_atom_site_fract_z
_atom_site_occupancy
Y1 Y 0.000 0.000 0.000 1
Hf1 Hf 0.000 0.000 0.500 1
Ag1 Ag 0.000 0.500 0.000 1
Te1 Te 0.500 0.500 0.500 1

(10)
# YHfAg2Te GGA-PBE relaxed
# Energy relative to the lowest polymorph listed for this composition = 0 meV per atom
data_YHfAg2Te
_chemical_formula_sum 'Y1 Hf1 Ag2 Te1'
_space_group_name_H-M_alt 'P 4/m m m'
_space_group_IT_number 123
_space_group_name_Hall '-P 4 2'
_cell_length_a 5.165
_cell_length_b 5.165
_cell_length_c 5.657
_cell_angle_alpha 90.00
_cell_angle_beta 90.00
_cell_angle_gamma 90.00
loop_
_atom_site_label
_atom_site_type_symbol
_atom_site_fract_x
_atom_site_fract_y
_atom_site_fract_z
_atom_site_occupancy
Y1 Y 0.000 0.000 0.000 1
Hf1 Hf 0.500 0.500 0.000 1
Ag1 Ag 0.000 0.500 0.500 1
Te1 Te 0.000 0.000 0.500 1

(11)
Entry from Alexandria: an optimized crystal structure of Y3HfAg3Te8 (GGA-PBE).

The structure in CIF format:
```
data_Y3HfAg3Te8
_chemical_formula_sum 'Y6 Hf2 Ag6 Te16'
_space_group_name_H-M_alt 'C 1 2/m 1'
_space_group_IT_number 12
_cell_length_a 15.009
_cell_length_b 8.665
_cell_length_c 8.729
_cell_angle_alpha 90.00
_cell_angle_beta 125.07
_cell_angle_gamma 90.00
loop_
_space_group_symop_operation_xyz
'x,y,z'
'-x,-y,-z'
'-x,y,-z'
'x,-y,z'
'x+1/2,y+1/2,z'
'-x+1/2,-y+1/2,-z'
'-x+1/2,y+1/2,-z'
'x+1/2,-y+1/2,z'
loop_
_atom_site_label
_atom_site_type_symbol
_atom_site_fract_x
_atom_site_fract_y
_atom_site_fract_z
_atom_site_occupancy
Y1 Y 0.000 0.000 0.000 1
Y2 Y 0.250 0.250 0.000 1
Hf1 Hf 0.000 0.500 0.000 1
Ag1 Ag 0.000 0.500 0.500 1
Ag2 Ag 0.250 0.250 0.500 1
Te1 Te 0.002 0.262 0.242 1
Te2 Te 0.239 0.500 0.242 1
Te3 Te 0.248 0.500 0.744 1
```

(12)
Entry from Alexandria: an optimized crystal structure of HfZr2Ag2Te6 (GGA-PBE).

The structure in CIF format:
```
data_HfZr2Ag2Te6
_chemical_formula_sum 'Hf2 Zr4 Ag4 Te12'
_space_group_name_H-M_alt 'C 1 2/m 1'
_space_group_IT_number 12
_cell_length_a 6.864
_cell_length_b 11.869
_cell_length_c 8.018
_cell_angle_alpha 90.00
_cell_angle_beta 106.01
_cell_angle_gamma 90.00
loop_
_space_group_symop_operation_xyz
'x,y,z'
'-x,-y,-z'
'-x,y,-z'
'x,-y,z'
'x+1/2,y+1/2,z'
'-x+1/2,-y+1/2,-z'
'-x+1/2,y+1/2,-z'
'x+1/2,-y+1/2,z'
loop_
_atom_site_label
_atom_site_type_symbol
_atom_site_fract_x
_atom_site_fract_y
_atom_site_fract_z
_atom_site_occupancy
Hf1 Hf 0.000 0.000 0.000 1
Zr1 Zr 0.000 0.335 0.000 1
Ag1 Ag 0.000 0.166 0.500 1
Te1 Te 0.241 0.166 0.237 1
Te2 Te 0.249 0.500 0.238 1
```

| no. | ΔE_f (raw) (eV per atom) | DFT total energy (eV/atom) |
| --- | --- | --- |
| 1 | -0.482 | -5.054 |
| 2 | 1.007 | -4.332 |
| 3 | -0.535 | -4.634 |
| 4 | -0.402 | -4.064 |
| 5 | -0.494 | -4.707 |
| 6 | -0.393 | -4.156 |
| 7 | -0.506 | -4.565 |
| 8 | -0.506 | -4.712 |
| 9 | 1.198 | -3.855 |
| 10 | 0.725 | -4.327 |
| 11 | -0.826 | -5.028 |
| 12 | -0.568 | -5.259 |